This record from Alexandria describes an optimized crystal structure of Pt2SeS3. The functional is PBE.

a = 3.6175 Å, b = 8.2268 Å, c = 9.8137 Å
α = 87.85°, β = 79.38°, γ = 77.30°
Atoms (fractional coordinates):
Pt 0.8721 0.3833 0.8725
Pt 0.1279 0.6167 0.1275
Pt 0.6254 0.1307 0.6185
Pt 0.3746 0.8693 0.3815
Se 0.4359 0.4316 0.6967
Se 0.5641 0.5684 0.3033
S 0.0570 0.1040 0.7820
S 0.9430 0.8960 0.2180
S 0.6866 0.6611 0.9656
S 0.3134 0.3389 0.0344
S 0.8059 0.8433 0.5450
S 0.1941 0.1567 0.4550

Results
Space-group type   No. 12
Density   6.7 Mg/m³
E   -5.02 eV/atom